{"formula": "PrScPdPt", "functional": "PBE-GGA", "state": "relaxed", "lattice_angstrom": [[4.938, 0.000, 0.000], [2.469, 4.276, 0.000], [2.469, 1.425, 4.031]], "species": ["Pr", "Sc", "Pd", "Pt"], "frac_coords": [[0.000, 0.000, 0.000], [0.500, 0.500, 0.500], [0.250, 0.250, 0.250], [0.750, 0.750, 0.750]], "magnetic_moment_mub_per_cell": 0.000, "space_group": "No. 216", "dft_energy_ry_per_atom": -0.4751, "ef_ev_per_atom": -0.88}

---

{"formula": "Pm12Sm7Tm", "functional": "PBE-GGA", "state": "relaxed", "lattice_angstrom": [[8.584, 1.230, 1.846], [-1.205, 8.587, 1.846], [-1.205, -1.604, 8.635]], "species": ["Pm", "Pm", "Pm", "Pm", "Pm", "Pm", "Pm", "Pm", "Pm", "Pm", "Pm", "Pm", "Sm", "Sm", "Sm", "Sm", "Sm", "Sm", "Sm", "Tm"], "frac_coords": [[0.853, 0.254, 0.728], [0.746, 0.272, 0.147], [0.615, 0.136, 0.493], [0.864, 0.507, 0.385], [0.272, 0.147, 0.746], [0.507, 0.385, 0.864], [0.493, 0.615, 0.136], [0.728, 0.853, 0.254], [0.136, 0.493, 0.615], [0.385, 0.864, 0.507], [0.254, 0.728, 0.853], [0.147, 0.746, 0.272], [0.850, 0.606, 0.926], [0.394, 0.074, 0.150], [0.074, 0.150, 0.394], [0.500, 0.500, 0.500], [0.926, 0.850, 0.606], [0.606, 0.926, 0.850], [0.150, 0.394, 0.074], [0.000, 0.000, 0.000]], "magnetic_moment_mub_per_cell": 0.000, "space_group": "No. 148", "relative_energy_mev_per_atom": 0.0, "dft_energy_ry_per_atom": -0.3307, "ef_ev_per_atom": 0.23}

---

{"formula": "CsU4Rh3S12", "functional": "PBE-GGA", "state": "relaxed", "lattice_angstrom": [[-3.643, 7.114, 2.616], [-5.707, -4.813, -3.872], [3.135, -4.141, 6.614]], "species": ["Cs", "U", "U", "U", "U", "Rh", "Rh", "Rh", "S", "S", "S", "S", "S", "S", "S", "S", "S", "S", "S", "S"], "frac_coords": [[0.000, 0.000, 0.000], [0.500, 0.000, 0.000], [0.500, 0.500, 0.500], [0.000, 0.500, 0.000], [0.000, 0.000, 0.500], [0.000, 0.500, 0.500], [0.500, 0.500, 0.000], [0.500, 0.000, 0.500], [0.323, 0.834, 0.157], [0.677, 0.166, 0.843], [0.677, 0.834, 0.511], [0.843, 0.677, 0.166], [0.834, 0.157, 0.323], [0.166, 0.489, 0.323], [0.489, 0.323, 0.166], [0.166, 0.843, 0.677], [0.323, 0.166, 0.489], [0.157, 0.323, 0.834], [0.834, 0.511, 0.677], [0.511, 0.677, 0.834]], "magnetic_moment_mub_per_cell": 3.950, "space_group": "No. 204", "formation_energy_uncorrected_ev_per_atom": -0.89, "dft_energy_ry_per_atom": -0.4976}

---

{"formula": "PuScSeS", "functional": "PBE-GGA", "state": "relaxed", "lattice_angstrom": [[3.867, 0.000, 0.000], [1.933, 3.349, 0.000], [1.933, 1.116, 6.543]], "species": ["Pu", "Sc", "Se", "S"], "frac_coords": [[0.994, 0.994, 0.019], [0.506, 0.506, 0.482], [0.757, 0.757, 0.730], [0.243, 0.243, 0.270]], "magnetic_moment_mub_per_cell": 5.791, "space_group": "No. 160", "formation_energy_uncorrected_ev_per_atom": -1.70, "dft_energy_ry_per_atom": -0.6446}

---

{"formula": "KLiAgSb", "functional": "PBE-GGA", "state": "relaxed", "lattice_angstrom": [[-5.030, -0.984, 0.135], [-2.292, -1.028, 4.470], [-3.224, 3.407, 2.072]], "species": ["Sb", "K", "Ag", "Li"], "frac_coords": [[0.000, 0.000, 0.000], [0.500, 0.500, 0.500], [0.250, 0.250, 0.250], [0.750, 0.750, 0.750]], "magnetic_moment_mub_per_cell": 0.000, "space_group": "No. 216", "formation_energy_uncorrected_ev_per_atom": -0.26, "dft_energy_ry_per_atom": -0.2027}

---

{"formula": "KRb12Na7", "functional": "PBE-GGA", "state": "relaxed", "lattice_angstrom": [[-3.907, 9.828, -7.274], [-5.291, 0.278, 10.768], [2.677, 10.488, 5.182]], "species": ["K", "Rb", "Rb", "Rb", "Rb", "Rb", "Rb", "Rb", "Rb", "Rb", "Rb", "Rb", "Rb", "Na", "Na", "Na", "Na", "Na", "Na", "Na"], "frac_coords": [[0.000, 0.000, 0.000], [0.890, 0.547, 0.173], [0.937, 0.827, 0.720], [0.544, 0.342, 0.111], [0.345, 0.889, 0.453], [0.657, 0.720, 0.453], [0.798, 0.453, 0.658], [0.202, 0.547, 0.342], [0.343, 0.280, 0.547], [0.655, 0.111, 0.547], [0.456, 0.658, 0.889], [0.063, 0.173, 0.280], [0.110, 0.453, 0.827], [0.734, 0.109, 0.125], [0.142, 0.875, 0.233], [0.375, 0.233, 0.891], [0.500, 0.000, 0.000], [0.625, 0.767, 0.109], [0.858, 0.125, 0.767], [0.266, 0.891, 0.875]], "magnetic_moment_mub_per_cell": 0.000, "space_group": "No. 148", "dft_energy_ry_per_atom": -0.0782, "ef_ev_per_atom": 0.03}